Dy9TmTh2: optimized geometry, PBE-GGA.

Values from the calculation:
Crystal system   hexagonal
Energy relative to the elements   0.111 eV/atom

Lattice parameters (Å, degrees): 11.3137 11.3137 3.4605 90.00 90.00 120.00
With the nearest neighbours (Å) after each atom.
Space group P6/mmm (No. 191)
Asymmetric unit:
Dy (0.0000, 0.5000, 0.0000)  2 Th 3.27, 10 Dy 3.46-3.65
Dy (0.1727, 0.3453, 0.5000)  8 Dy 3.38-3.65, 2 Th 3.59
Tm (0.0000, 0.0000, 0.0000)  2 Tm 3.46, 12 Dy 3.80
Th (0.3333, 0.6667, 0.0000)  9 Dy 3.27-3.59, 2 Th 3.46

DyTm2Th5: optimized geometry, PBE-GGA.

Values from the calculation:
Crystal system   orthorhombic
Energy relative to the elements   0.047 eV/atom

Lattice parameters (Å, degrees): 7.1098 14.2524 5.0209 90.00 90.00 90.00
With the nearest neighbours (Å) after each atom.
Space group Pbam (No. 55)
Asymmetric unit:
Dy (0.0000, 0.0000, 0.0000)  8 Th 3.55-3.58, 4 Tm 3.56
Tm (0.2489, 0.3742, 0.5000)  10 Th 3.52-3.60, 2 Dy 3.56
Th (0.0004, 0.2503, 0.0000)  7 Th 3.53-3.56, 4 Tm 3.54-3.56, 1 Dy 3.57
Th (0.0000, 0.5000, 0.0000)  2 Dy 3.55, 6 Th 3.56, 4 Tm 3.56
Th (0.2465, 0.6268, 0.5000)  4 Tm 3.52-3.60, 6 Th 3.53-3.56, 2 Dy 3.58

Dy4TmTh5: optimized geometry, PBE-GGA.

Values from the calculation:
Crystal system   monoclinic
Energy relative to the elements   0.131 eV/atom

Lattice parameters (Å, degrees): 17.5794 3.4381 11.1477 90.00 107.43 90.00
With the nearest neighbours (Å) after each atom.
Space group C2/m (No. 12)
Asymmetric unit:
Dy (0.0933, 0.0000, 0.3087)  4 Th 3.39-3.76, 5 Dy 3.44-3.55, 2 Tm 3.51
Dy (0.1968, 0.5000, 0.5891)  1 Tm 3.30, 7 Dy 3.44-3.55, 3 Th 3.47-3.56
Tm (0.0000, 0.5000, 0.5000)  6 Dy 3.30-3.51, 2 Tm 3.44, 4 Th 3.68
Th (0.0000, 0.5000, 0.0000)  10 Th 3.44-3.81, 4 Dy 3.76
Th (0.1086, 0.0000, 0.7935)  3 Th 3.24-3.44, 3 Dy 3.39-3.56
Th (0.1971, 0.0000, 0.0937)  5 Th 3.24-3.62, 2 Dy 3.42-3.47

Dy5Tm4Th: optimized geometry, PBE-GGA.

Values from the calculation:
Crystal system   monoclinic
Energy relative to the elements   0.194 eV/atom

Lattice parameters (Å, degrees): 11.7185 5.4078 10.1828 90.00 91.52 90.00
With the nearest neighbours (Å) after each atom.
Space group C2/m (No. 12)
Asymmetric unit:
Dy (0.0000, 0.0000, 0.0000)  2 Tm 3.23
Dy (0.1900, 0.5000, 0.4392)  2 Dy 3.28, 5 Tm 3.32-3.66, 2 Th 3.57
Dy (0.1990, 0.5000, 0.0696)  5 Tm 3.29-3.63, 5 Dy 3.29-3.63
Tm (0.0467, 0.5000, 0.7541)  1 Tm 3.27, 4 Dy 3.36-3.66
Tm (0.1742, 0.0000, 0.2510)  6 Dy 3.23-3.50, 1 Tm 3.27, 1 Th 3.30
Th (0.0000, 0.0000, 0.5000)  2 Tm 3.30, 6 Dy 3.57-3.67

| no. | calculated density (Mg/m³) |
| --- | --- |
| 1 | 9.07 |
| 2 | 10.84 |
| 3 | 10.22 |
| 4 | 8.86 |